# NdAlGaPt3 (GGA-PBE, relaxed)
# * ΔE_f: -0.810 eV per atom
# * N(E_F): 2.9 states/eV/cell
# * energy: -5.7529 eV/atom
# * SG: Cmcm
data_NdAlGaPt3
_cell_length_a 7.0519
_cell_length_b 7.0519
_cell_length_c 5.6402
_cell_angle_alpha 90.00
_cell_angle_beta 90.00
_cell_angle_gamma 122.70
_symmetry_space_group_name_H-M 'P 1'
_symmetry_Int_Tables_number 1
_symmetry_space_group_name_Hall 'P 1'
loop_
_atom_site_label
_atom_site_fract_x
_atom_site_fract_y
_atom_site_fract_z
_atom_site_occupancy
Nd1 0.2081 0.7919 0.7500 1
Nd2 0.7919 0.2081 0.2500 1
Al1 0.4629 0.5371 0.7500 1
Al2 0.5371 0.4629 0.2500 1
Ga1 0.1317 0.8683 0.2500 1
Ga2 0.8683 0.1317 0.7500 1
Pt1 0.2080 0.2080 0.0000 1
Pt2 0.2080 0.2080 0.5000 1
Pt3 0.3302 0.6698 0.2500 1
Pt4 0.6698 0.3302 0.7500 1
Pt5 0.7920 0.7920 0.0000 1
Pt6 0.7920 0.7920 0.5000 1